1.
This record from Alexandria describes a crystal of Co2PtRh relaxed with PBEsol. The functional is SCAN.

Calculated values
Calculated total energy, eV for the cell shown: -138.70
Formation energy, eV per atom: -0.0305
Volume, Å³ per cell: 50.5
Magnetization, Bohr magnetons per cell: 4.8

abc: 4.4687 4.4687 4.5605
angles: 99.86 99.86 34.31
Closest atoms and distances in Å follow each position.
Fractional coordinates of all 4 atoms:
Co  0.2491  0.2491  0.2407  6 Co 2.56-2.71, 3 Rh 2.57-2.58, 3 Pt 2.61
Co  0.7509  0.7509  0.7593  6 Co 2.56-2.71, 3 Rh 2.57-2.58, 3 Pt 2.61
Pt  0.0000  0.0000  0.5000  6 Co 2.61, 4 Rh 2.63, 2 Pt 2.64
Rh  0.5000  0.5000  0.0000  6 Co 2.57-2.58, 4 Pt 2.63, 2 Rh 2.64

=====

2.
This record from Alexandria describes a crystal of CoPt2Rh relaxed with PBEsol. The functional is SCAN.

Calculated values
Calculated total energy, eV for the cell shown: -191.57
Formation energy, eV per atom: -0.0264
Volume, Å³ per cell: 54.6
Magnetization, Bohr magnetons per cell: 3.2

abc: 8.8924 8.8924 8.8924
angles: 17.36 17.36 17.36
Closest atoms and distances in Å follow each position.
Fractional coordinates of all 4 atoms:
Co  0.0000  0.0000  0.0000  3 Rh 2.52, 3 Pt 2.60, 6 Co 2.68
Pt  0.5038  0.5038  0.5038  9 Pt 2.68-2.85, 3 Rh 2.77
Pt  0.7461  0.7461  0.7461  3 Co 2.60, 9 Pt 2.68-2.85
Rh  0.2577  0.2577  0.2577  3 Co 2.52, 6 Rh 2.68, 3 Pt 2.77

=====

3.
This record from Alexandria describes a crystal of CoPtRh relaxed with PBEsol. The functional is SCAN.

Calculated values
Calculated total energy, eV for the cell shown: -121.37
Formation energy, eV per atom: -0.0329
Energy relative to the lowest polymorph listed for this composition, meV per atom: 42
Volume, Å³ per cell: 39.3
Magnetization, Bohr magnetons per cell: 3.1

abc: 4.6129 4.6129 4.6129
angles: 146.49 133.02 58.94
Closest atoms and distances in Å follow each position.
Fractional coordinates of all 3 atoms:
Co  0.0000  0.0000  0.0000  5 Rh 2.59-2.76, 5 Pt 2.64-2.67, 2 Co 2.66
Pt  0.6675  0.6675  0.0000  5 Rh 2.60-2.67, 5 Co 2.64-2.67, 2 Pt 2.66
Rh  0.3437  0.3437  0.0000  5 Co 2.59-2.76, 5 Pt 2.60-2.67, 2 Rh 2.66

=====

4.
This record from Alexandria describes a crystal of Co2PtRh relaxed with PBEsol. The functional is SCAN.

Calculated values
Calculated total energy, eV for the cell shown: -138.96
Formation energy, eV per atom: -0.0972
Volume, Å³ per cell: 50.0
Magnetization, Bohr magnetons per cell: 5.5

abc: 4.4569 4.4569 4.4569
angles: 130.49 130.49 72.63
Closest atoms and distances in Å follow each position.
Fractional coordinates of all 4 atoms:
Co  0.2500  0.7500  0.5000  4 Rh 2.59, 4 Pt 2.59, 4 Co 2.64
Co  0.7500  0.2500  0.5000  4 Rh 2.59, 4 Pt 2.59, 4 Co 2.64
Pt  0.0000  0.0000  0.0000  8 Co 2.59, 4 Rh 2.64
Rh  0.5000  0.5000  0.0000  8 Co 2.59, 4 Pt 2.64

=====

5.
This record from Alexandria describes a crystal of CoRuPt relaxed with PBEsol. The functional is SCAN.

Calculated values
Calculated total energy, eV for the cell shown: -122.02
Formation energy, eV per atom: 0.1019
Energy relative to the lowest polymorph listed for this composition, meV per atom: 0
Volume, Å³ per cell: 39.0
Magnetization, Bohr magnetons per cell: 2.2

abc: 2.6560 2.6560 6.3913
angles: 90.00 90.00 120.00
Closest atoms and distances in Å follow each position.
Fractional coordinates of all 3 atoms:
Co  0.0000  0.0000  0.0000  3 Ru 2.48, 3 Pt 2.64, 6 Co 2.66
Ru  0.6667  0.3333  0.3053  3 Co 2.48, 6 Ru 2.66, 3 Pt 2.76
Pt  0.3333  0.6667  0.6643  3 Co 2.64, 6 Pt 2.66, 3 Ru 2.76

=====

6.
This record from Alexandria describes a crystal of CoRuPt relaxed with PBEsol. The functional is SCAN.

Calculated values
Calculated total energy, eV for the cell shown: -120.69
Formation energy, eV per atom: 0.5461
Energy relative to the lowest polymorph listed for this composition, meV per atom: 444
Volume, Å³ per cell: 46.8
Magnetization, Bohr magnetons per cell: 1.3

abc: 4.0440 4.0440 4.0440
angles: 60.00 60.00 60.00
Closest atoms and distances in Å follow each position.
Fractional coordinates of all 3 atoms:
Co  0.0000  0.0000  0.0000  4 Pt 2.48
Ru  0.5000  0.5000  0.5000  4 Pt 2.48
Pt  0.7500  0.7500  0.7500  4 Co 2.48, 4 Ru 2.48

=====

7.
This record from Alexandria describes a crystal of ScCoPt2 relaxed with PBEsol. The functional is SCAN.

Calculated values
Calculated total energy, eV for the cell shown: -174.88
Formation energy, eV per atom: -0.7384
Volume, Å³ per cell: 58.9
Magnetization, Bohr magnetons per cell: 2.0

abc: 2.8493 4.4011 4.6980
angles: 90.00 90.00 90.00
Closest atoms and distances in Å follow each position.
Fractional coordinates of all 4 atoms:
Sc  0.0000  0.0000  0.0000  8 Pt 2.68-2.81, 2 Co 2.80, 2 Sc 2.85
Co  0.0000  0.5000  0.6302  8 Pt 2.66-2.83, 2 Sc 2.80, 2 Co 2.85
Pt  0.5000  0.0000  0.5165  4 Co 2.68, 4 Sc 2.68-2.81, 4 Pt 2.79-2.85
Pt  0.5000  0.5000  0.1516  4 Co 2.66-2.83, 4 Sc 2.72, 4 Pt 2.79-2.85

=====

8.
This record from Alexandria describes a crystal of ScCoPt2 relaxed with PBEsol. The functional is SCAN.

Calculated values
Calculated total energy, eV for the cell shown: -173.21
Formation energy, eV per atom: -0.3210
Volume, Å³ per cell: 59.9
Magnetization, Bohr magnetons per cell: 2.0

abc: 8.7529 8.7529 8.7529
angles: 18.65 18.65 18.65
Closest atoms and distances in Å follow each position.
Fractional coordinates of all 4 atoms:
Sc  0.0000  0.0000  0.0000  6 Pt 2.78, 6 Sc 2.84
Co  0.5000  0.5000  0.5000  6 Pt 2.63, 6 Co 2.84
Pt  0.2463  0.2463  0.2463  3 Co 2.63, 3 Sc 2.78, 6 Pt 2.84
Pt  0.7537  0.7537  0.7537  3 Co 2.63, 3 Sc 2.78, 6 Pt 2.84

=====

9.
This record from Alexandria describes a crystal of ScCoPt2 relaxed with PBEsol. The functional is SCAN.

Calculated values
Calculated total energy, eV for the cell shown: -174.51
Formation energy, eV per atom: -0.6454
Volume, Å³ per cell: 59.2
Magnetization, Bohr magnetons per cell: 2.0

abc: 4.7615 4.7615 4.6765
angles: 100.96 100.96 34.73
Closest atoms and distances in Å follow each position.
Fractional coordinates of all 4 atoms:
Sc  0.0000  0.0000  0.0000  7 Pt 2.67-2.81, 3 Co 2.80-2.86, 2 Sc 2.84
Co  0.7512  0.7512  0.2911  7 Pt 2.60-2.83, 3 Sc 2.80-2.86, 2 Co 2.84
Pt  0.2469  0.2469  0.7655  4 Co 2.64-2.83, 3 Sc 2.69-2.74, 5 Pt 2.81-2.84
Pt  0.4906  0.4906  0.4787  3 Co 2.60-2.68, 4 Sc 2.67-2.81, 5 Pt 2.81-2.84

=====

10.
This record from Alexandria describes a crystal of ScCo3Pt relaxed with PBEsol. The functional is SCAN.

Calculated values
Calculated total energy, eV for the cell shown: -133.14
Formation energy, eV per atom: 0.6413
Volume, Å³ per cell: 91.3
Magnetization, Bohr magnetons per cell: 6.2

abc: 4.5028 4.5028 4.5028
angles: 90.00 90.00 90.00
Closest atoms and distances in Å follow each position.
Fractional coordinates of all 5 atoms:
Sc  0.0000  0.0000  0.0000  12 Co 3.18
Co  0.0000  0.5000  0.5000  2 Pt 2.25
Co  0.5000  0.0000  0.5000  2 Pt 2.25
Co  0.5000  0.5000  0.0000  2 Pt 2.25
Pt  0.5000  0.5000  0.5000  6 Co 2.25

=====

11.
This record from Alexandria describes a crystal of Co2PtSe relaxed with PBEsol. The functional is SCAN.

Calculated values
Calculated total energy, eV for the cell shown: -123.66
Raw formation energy, meV per atom: 304
Volume, Å³ per cell: 53.4
Magnetization, Bohr magnetons per cell: 4.4

abc: 4.2258 4.2258 4.2258
angles: 60.00 60.00 60.00
Closest atoms and distances in Å follow each position.
Fractional coordinates of all 4 atoms:
Co  0.0000  0.0000  0.0000  4 Pt 2.59, 4 Co 2.59
Co  0.2500  0.2500  0.2500  4 Se 2.59, 4 Co 2.59
Pt  0.7500  0.7500  0.7500  4 Co 2.59, 4 Se 2.59
Se  0.5000  0.5000  0.5000  4 Co 2.59, 4 Pt 2.59

=====

12.
This record from Alexandria describes a crystal of Co2PtSe relaxed with PBEsol. The functional is SCAN.

Calculated values
Calculated total energy, eV for the cell shown: -123.79
Raw formation energy, meV per atom: 272
Volume, Å³ per cell: 52.7
Magnetization, Bohr magnetons per cell: 3.4

abc: 5.0542 5.0542 5.0542
angles: 146.44 131.86 59.96
Closest atoms and distances in Å follow each position.
Fractional coordinates of all 4 atoms:
Co  0.0000  0.0000  0.0000  2 Se 2.34, 4 Pt 2.56
Co  0.7266  0.2266  0.5000  4 Se 2.53, 2 Pt 2.80, 2 Co 2.80
Pt  0.4532  0.4532  0.0000  8 Co 2.56-2.86, 2 Se 2.59
Se  0.2091  0.7091  0.5000  6 Co 2.34-2.53, 2 Pt 2.59